1.
This record from Alexandria via LeMat-Bulk describes a relaxed Sr2Ta crystal. The functional is PBE.

DFT formation energy   0.613 eV/atom
ΔE to the lowest computed polymorph   0.0000 eV per atom
Total DFT energy (no corrections)   -4.46 eV per atom

a b c (Å): 6.5429 6.5429 10.2285
angles (deg): 69.85 69.85 32.16
Last column: nearest neighbours and their distance in Å.
Atoms (fractional coordinates):
Sr 0.0115 0.0115 0.3180  5 Ta 3.51-3.64, 4 Sr 3.62-3.81
Ta 0.2874 0.2874 0.5665  2 Ta 2.63
Sr 0.9885 0.9885 0.6820  5 Ta 3.51-3.64, 4 Sr 3.62-3.81
Ta 0.7126 0.7126 0.4335  2 Ta 2.63
Sr 0.3326 0.3326 0.1207  2 Ta 3.51, 3 Sr 3.62-3.81
Sr 0.6674 0.6674 0.8793  2 Ta 3.51, 3 Sr 3.62-3.81

---

2.
This record from Alexandria via LeMat-Bulk describes a relaxed Cr2SiRh crystal. The functional is PBE.

Raw formation energy   -58 kJ/mol of formula units
Total DFT energy (no corrections)   -8.16 eV per atom

a b c (Å): 5.4881 4.6081 2.6464
angles (deg): 90.13 60.92 117.12
Last column: nearest neighbours and their distance in Å.
Atoms (fractional coordinates):
Cr 0.0000 0.0000 0.0000  4 Cr 2.40-2.65, 4 Rh 2.65-2.66, 4 Si 2.65-2.66
Cr 0.5000 0.0000 0.5000  4 Cr 2.40-2.65, 4 Si 2.65-2.66, 4 Rh 2.65-2.66
Si 0.5000 0.5000 0.0000  2 Rh 2.40, 2 Si 2.65, 8 Cr 2.65-2.66
Rh 0.0000 0.5000 0.5000  2 Si 2.40, 2 Rh 2.65, 8 Cr 2.65-2.66

---

3.
This record from Alexandria via LeMat-Bulk describes a relaxed AlCIO2 crystal. The functional is PBE.

Raw formation energy   2 kJ/mol of formula units
ΔE to the lowest computed polymorph   0.0000 eV per atom
Total DFT energy (no corrections)   -4.88 eV per atom

a b c (Å): 3.5217 3.5217 7.3532
angles (deg): 90.00 90.00 90.00
Last column: nearest neighbours and their distance in Å.
Atoms (fractional coordinates):
C 0.5000 0.5000 0.5000  4 I 2.49
I 0.0000 0.0000 0.5000  4 C 2.49
O 0.5000 0.0000 0.0000  2 Al 1.76
O 0.0000 0.5000 0.0000  2 Al 1.76
Al 0.0000 0.0000 0.0000  4 O 1.76

---

4.
This record from Alexandria via LeMat-Bulk describes a relaxed LiPuAu4 crystal. The functional is PBE.

DFT formation energy   -0.325 eV/atom
ΔE to the lowest computed polymorph   0.0724 eV per atom
Total DFT energy (no corrections)   -5.22 eV per atom

a b c (Å): 5.5910 5.5910 5.5910
angles (deg): 60.00 60.00 60.00
Last column: nearest neighbours and their distance in Å.
Atoms (fractional coordinates):
Pu 0.2500 0.2500 0.2500  12 Au 3.28, 4 Li 3.42
Au 0.6255 0.6255 0.6255  6 Au 2.78-2.81
Au 0.6255 0.6255 0.1236  6 Au 2.78-2.81
Au 0.1236 0.6255 0.6255  6 Au 2.78-2.81
Li 0.0000 0.0000 0.0000  12 Au 3.28, 4 Pu 3.42
Au 0.6255 0.1236 0.6255  6 Au 2.78-2.81

---

5.
This record from Alexandria via LeMat-Bulk describes a relaxed SrLa3Rh crystal. The functional is PBE.

DFT formation energy   -0.268 eV/atom
ΔE to the lowest computed polymorph   0.0100 eV per atom
Total DFT energy (no corrections)   -5.03 eV per atom

a b c (Å): 5.7739 5.7739 5.7739
angles (deg): 90.00 90.00 90.00
Last column: nearest neighbours and their distance in Å.
Atoms (fractional coordinates):
La 0.0000 0.5000 0.0000  2 Rh 2.89
Sr 0.5000 0.5000 0.5000  12 La 4.08
La 0.5000 0.0000 0.0000  2 Rh 2.89
La 0.0000 0.0000 0.5000  2 Rh 2.89
Rh 0.0000 0.0000 0.0000  6 La 2.89

---

6.
This record from Alexandria via LeMat-Bulk describes a relaxed ReIrC2 crystal. The functional is PBE.

DFT formation energy   0.623 eV/atom
ΔE to the lowest computed polymorph   0.0000 eV per atom
Total DFT energy (no corrections)   -9.32 eV per atom

a b c (Å): 4.6754 4.6754 5.6553
angles (deg): 65.58 65.58 90.00
Last column: nearest neighbours and their distance in Å.
Atoms (fractional coordinates):
Ir 0.0000 0.0000 0.0000  4 C 2.03
Re 0.5000 0.5000 0.0000  4 C 1.99
Ir 0.7500 0.2500 0.5000  4 C 2.03
C 0.8750 0.8679 0.7500  2 Re 1.99, 2 Ir 2.03
C 0.6179 0.1250 0.2500  2 Re 1.99, 2 Ir 2.03
C 0.3750 0.3821 0.7500  2 Re 1.99, 2 Ir 2.03
C 0.1321 0.6250 0.2500  2 Re 1.99, 2 Ir 2.03
Re 0.2500 0.7500 0.5000  4 C 1.99

---

7.
This record from Alexandria via LeMat-Bulk describes a relaxed Pu4P3S crystal. The functional is PBE.

Raw formation energy   -999 kJ/mol of formula units
Total DFT energy (no corrections)   -11.00 eV per atom

a b c (Å): 3.9861 3.9861 13.2182
angles (deg): 81.33 81.33 60.00
Last column: nearest neighbours and their distance in Å.
Atoms (fractional coordinates):
Pu 0.8748 0.8748 0.3757  6 P 2.81-2.84
P 0.2505 0.2505 0.2484  6 Pu 2.81-2.84
Pu 0.1252 0.1252 0.6243  6 P 2.81-2.84
Pu 0.6251 0.6251 0.1247  3 P 2.81, 3 S 2.82
P 0.7495 0.7495 0.7516  6 Pu 2.81-2.84
P 0.5000 0.5000 0.5000  6 Pu 2.81
Pu 0.3749 0.3749 0.8753  3 P 2.81, 3 S 2.82
S 0.0000 0.0000 0.0000  6 Pu 2.82

---

8.
This record from Alexandria via LeMat-Bulk describes a relaxed NaGe2PbSe6 crystal. The functional is PBE.

Raw formation energy   -372 kJ/mol of formula units
Total DFT energy (no corrections)   -3.90 eV per atom

a b c (Å): 7.1339 9.1213 9.1213
angles (deg): 83.67 77.70 77.70
Last column: nearest neighbours and their distance in Å.
Atoms (fractional coordinates):
Na 0.7500 0.6745 0.3255  4 Se 3.00-3.32
Se 0.0230 0.6764 0.5780  2 Ge 2.43-2.47
Se 0.3275 0.1789 0.0265  1 Ge 2.36
Se 0.6725 0.8211 0.9735  1 Ge 2.36
Se 0.9008 0.4018 0.9223  1 Ge 2.38
Se 0.4008 0.9223 0.4018  1 Ge 2.38
Se 0.0992 0.5982 0.0777  1 Ge 2.38
Na 0.2500 0.3255 0.6745  4 Se 3.00-3.32
Ge 0.7317 0.2007 0.3670  4 Se 2.36-2.47
Pb 0.2500 0.8633 0.1367  6 Se 2.99-3.07
Se 0.5230 0.5780 0.6764  2 Ge 2.43-2.47
Se 0.9770 0.3236 0.4220  2 Ge 2.43-2.47
Se 0.8275 0.0265 0.1789  1 Ge 2.36
Se 0.5992 0.0777 0.5982  1 Ge 2.38
Ge 0.2683 0.7993 0.6330  4 Se 2.36-2.47
Pb 0.7500 0.1367 0.8633  6 Se 2.99-3.07
Se 0.1725 0.9735 0.8211  1 Ge 2.36
Ge 0.2317 0.3670 0.2007  4 Se 2.36-2.47
Ge 0.7683 0.6330 0.7993  4 Se 2.36-2.47
Se 0.4770 0.4220 0.3236  2 Ge 2.43-2.47

---

9.
This record from Alexandria via LeMat-Bulk describes a relaxed RePtAu2 crystal. The functional is PBE.

DFT formation energy   0.381 eV/atom
ΔE to the lowest computed polymorph   0.2614 eV per atom
Total DFT energy (no corrections)   -5.88 eV per atom

a b c (Å): 4.9008 2.7558 4.9341
angles (deg): 90.92 90.00 90.00
Last column: nearest neighbours and their distance in Å.
Atoms (fractional coordinates):
Pt 0.5000 0.2500 0.2500  2 Pt 2.76, 4 Re 2.81-2.85, 4 Au 2.83
Au 0.0000 0.0043 0.9967  6 Au 2.76-2.89, 2 Re 2.82, 2 Pt 2.83
Re 0.5000 0.7500 0.7500  2 Re 2.76, 4 Pt 2.81-2.85, 4 Au 2.82
Au 0.0000 0.4957 0.5033  6 Au 2.76-2.89, 2 Re 2.82, 2 Pt 2.83

---

10.
This record from Alexandria via LeMat-Bulk describes a relaxed ErMgZrIr crystal. The functional is PBE.

DFT formation energy   -0.389 eV/atom
Total DFT energy (no corrections)   -6.28 eV per atom

a b c (Å): 4.8722 4.8722 4.8722
angles (deg): 60.00 60.00 60.00
Last column: nearest neighbours and their distance in Å.
Atoms (fractional coordinates):
Er 0.0000 0.0000 0.0000  4 Ir 2.98, 4 Mg 2.98
Zr 0.5000 0.5000 0.5000  4 Mg 2.98, 4 Ir 2.98
Mg 0.7500 0.7500 0.7500  4 Zr 2.98, 4 Er 2.98
Ir 0.2500 0.2500 0.2500  4 Er 2.98, 4 Zr 2.98

---

11.
This record from Alexandria via LeMat-Bulk describes a relaxed Sc2BeAlCu6 crystal. The functional is PBE.

DFT formation energy   -0.054 eV/atom
Total DFT energy (no corrections)   -4.52 eV per atom

a b c (Å): 5.9892 5.9980 6.0791
angles (deg): 58.74 59.89 89.29
Last column: nearest neighbours and their distance in Å.
Atoms (fractional coordinates):
Sc 0.8039 0.1922 0.3920  9 Cu 2.88-3.15, 1 Be 2.90
Cu 0.8453 0.3225 0.7970  1 Be 2.18, 1 Al 2.38, 2 Cu 2.42-2.44
Sc 0.1961 0.8078 0.6080  9 Cu 2.88-3.15, 1 Be 2.90
Al 0.5000 0.5000 0.0000  6 Cu 2.38-2.39
Cu 0.3242 0.3543 0.5216  1 Be 2.18, 1 Al 2.39, 2 Cu 2.43-2.44
Be 0.0000 0.0000 0.0000  6 Cu 2.18-2.20
Cu 0.1547 0.6774 0.2030  1 Be 2.18, 1 Al 2.38, 2 Cu 2.42-2.44
Cu 0.6469 0.8430 0.0325  1 Be 2.20, 1 Al 2.38, 2 Cu 2.42-2.43
Cu 0.3531 0.1570 0.9675  1 Be 2.20, 1 Al 2.38, 2 Cu 2.42-2.43
Cu 0.6758 0.6457 0.4784  1 Be 2.18, 1 Al 2.39, 2 Cu 2.43-2.44

---

12.
This record from Alexandria via LeMat-Bulk describes a relaxed ZnPI2 crystal. The functional is PBE.

Raw formation energy   204 kJ/mol of formula units
ΔE to the lowest computed polymorph   0.0000 eV per atom
Total DFT energy (no corrections)   -1.92 eV per atom

a b c (Å): 7.7777 7.7777 6.7049
angles (deg): 54.55 54.55 90.00
Last column: nearest neighbours and their distance in Å.
Atoms (fractional coordinates):
P 0.2500 0.7500 0.5000  4 I 2.93
Zn 0.7500 0.2500 0.5000  4 I 2.89
I 0.1214 0.6250 0.2500  2 Zn 2.89, 2 P 2.93
I 0.6286 0.1250 0.2500  2 Zn 2.89, 2 P 2.93
I 0.3750 0.3714 0.7500  2 Zn 2.89, 2 P 2.93
I 0.8750 0.8786 0.7500  2 Zn 2.89, 2 P 2.93
P 0.5000 0.5000 0.0000  4 I 2.93
Zn 0.0000 0.0000 0.0000  4 I 2.89

---

- Which value of total DFT energy (no corrections) does entry 11 give?
  -4.52 eV per atom

---

- Number 5 is which compound?
  SrLa3Rh